# 1
This record from the Alexandria database describes an optimized crystal structure of Ce5CdRh4. The functional is GGA-PBE.

a = 14.6342 Å, b = 4.5884 Å, c = 6.7218 Å
α = 90.00°, β = 97.00°, γ = 90.00°
Last column: nearest neighbours and their distance in Å.
Space group C2/m (No. 12)
One atom of each set of equivalent atoms:
Ce 0.0000 0.0000 0.0000 x2  6 Rh 2.80-2.84
Ce 0.1592 0.5000 0.5908 x4  3 Rh 2.70-2.99, 1 Ce 2.95
Ce 0.1915 0.5000 0.0325 x4  3 Ce 2.93-2.95, 4 Rh 2.95-3.28
Cd 0.0000 0.0000 0.5000 x2  6 Rh 2.85-2.92
Rh 0.0205 0.5000 0.2406 x4  5 Ce 2.80-3.01, 2 Cd 2.92, 2 Rh 3.04
Rh 0.1578 0.0000 0.2902 x4  4 Ce 2.70-2.95, 1 Cd 2.85

Values from the calculation:
Formation energy, eV/atom: -0.517
VASP energy, eV for the cell shown: -130.31
Magnetic moment, μB per formula unit: 0.580


# 2
This record from the Alexandria database describes an optimized crystal structure of Ce2CdSi2Rh5. The functional is GGA-PBE.

a = 9.9327 Å, b = 9.9327 Å, c = 3.5502 Å
α = 90.00°, β = 90.00°, γ = 90.00°
Last column: nearest neighbours and their distance in Å.
Space group P4/mbm (No. 127)
One atom of each set of equivalent atoms:
Ce 0.1776 0.3224 0.0000 x4  3 Si 2.83-3.02, 6 Rh 3.06-3.10
Cd 0.0000 0.0000 0.0000 x2  8 Rh 2.91
Si 0.1208 0.6208 0.0000 x4  6 Rh 2.42-2.46
Rh 0.0000 0.5000 0.5000 x2  4 Si 2.46
Rh 0.0698 0.7788 0.5000 x8  2 Si 2.42

Values from the calculation:
VASP energy, eV for the cell shown: -136.49
Magnetic moment, μB per formula unit: 1.147
Formation energy (no corrections), eV per formula unit: -7.86


# 3
This record from the Alexandria database describes an optimized crystal structure of CeSmCdRh. The functional is GGA-PBE.

a = 7.3033 Å, b = 7.3033 Å, c = 7.3033 Å
α = 90.00°, β = 90.00°, γ = 90.00°
Last column: nearest neighbours and their distance in Å.
Space group F-43m (No. 216)
One atom of each set of equivalent atoms:
Ce 0.0000 0.0000 0.0000 x4  4 Cd 3.16, 4 Rh 3.16
Sm 0.0000 0.0000 0.5000 x4  4 Rh 3.16, 4 Cd 3.16
Cd 0.2500 0.2500 0.2500 x4  4 Sm 3.16, 4 Ce 3.16
Rh 0.2500 0.2500 0.7500 x4  4 Ce 3.16, 4 Sm 3.16

Values from the calculation:
Formation energy, eV/atom: -0.365
VASP energy, eV for the cell shown: -81.52
Magnetic moment, μB per formula unit: 0.769


# 4
This record from the Alexandria database describes an optimized crystal structure of TbCeCdRh. The functional is GGA-PBE.

a = 7.2488 Å, b = 7.2488 Å, c = 7.2488 Å
α = 90.00°, β = 90.00°, γ = 90.00°
Last column: nearest neighbours and their distance in Å.
Space group F-43m (No. 216)
One atom of each set of equivalent atoms:
Tb 0.0000 0.0000 0.0000 x4  4 Cd 3.14, 4 Rh 3.14
Ce 0.0000 0.0000 0.5000 x4  4 Cd 3.14, 4 Rh 3.14
Cd 0.2500 0.2500 0.2500 x4  4 Tb 3.14, 4 Ce 3.14
Rh 0.2500 0.2500 0.7500 x4  4 Tb 3.14, 4 Ce 3.14

Values from the calculation:
Formation energy, eV/atom: -0.395
VASP energy, eV for the cell shown: -81.64
Magnetic moment, μB per formula unit: 0.750


# 5
This record from the Alexandria database describes an optimized crystal structure of CeZnCdRh. The functional is GGA-PBE.

a = 6.8311 Å, b = 6.8311 Å, c = 6.8311 Å
α = 90.00°, β = 90.00°, γ = 90.00°
Last column: nearest neighbours and their distance in Å.
Space group F-43m (No. 216)
One atom of each set of equivalent atoms:
Ce 0.0000 0.0000 0.0000 x4  4 Rh 2.96, 4 Zn 2.96
Zn 0.2500 0.2500 0.2500 x4  4 Ce 2.96, 4 Cd 2.96
Cd 0.0000 0.0000 0.5000 x4  4 Zn 2.96, 4 Rh 2.96
Rh 0.2500 0.2500 0.7500 x4  4 Cd 2.96, 4 Ce 2.96

Values from the calculation:
Formation energy, eV/atom: -0.325
VASP energy, eV for the cell shown: -67.09
Magnetic moment, μB per formula unit: 0.001


# 6
This record from the Alexandria database describes an optimized crystal structure of Ce2CdRu. The functional is GGA-PBE.

a = 6.4663 Å, b = 3.2822 Å, c = 8.7271 Å
α = 90.00°, β = 90.00°, γ = 90.00°
Last column: nearest neighbours and their distance in Å.
Space group Pmma (No. 51)
One atom of each set of equivalent atoms:
Ce 0.0236 0.0000 0.2094 x4  1 Ce 2.93, 4 Ru 2.93-2.97
Cd 0.2500 0.5000 0.5066 x2  4 Cd 3.24-3.28, 8 Ce 3.40-3.46
Ru 0.2500 0.5000 0.9807 x2  8 Ce 2.93-2.97, 2 Ru 3.25

Values from the calculation:
Formation energy, eV/atom: -0.268
VASP energy, eV for the cell shown: -46.26
Magnetic moment, μB per formula unit: 0.000


# 7
This record from the Alexandria database describes an optimized crystal structure of Ce2CdRu. The functional is GGA-PBE.

a = 3.9861 Å, b = 3.9861 Å, c = 23.9596 Å
α = 90.00°, β = 90.00°, γ = 120.00°
Last column: nearest neighbours and their distance in Å.
Space group R3m (No. 160, hexagonal axes)
One atom of each set of equivalent atoms:
Ce 0.0000 0.0000 0.0000 x3  3 Ru 2.76
Ce 0.0000 0.0000 0.2056 x3  3 Ru 2.77
Cd 0.0000 0.0000 0.4356 x3  6 Ce 3.36-3.38
Ru 0.0000 0.0000 0.6032 x3  6 Ce 2.76-2.77

Values from the calculation:
Formation energy, eV/atom: -0.172
VASP energy, eV for the cell shown: -68.24
Magnetic moment, μB per formula unit: 1.113


# 8
This record from the Alexandria database describes an optimized crystal structure of Ce3CdRu. The functional is GGA-PBE.

a = 8.1055 Å, b = 3.6815 Å, c = 8.4990 Å
α = 90.00°, β = 101.50°, γ = 90.00°
Last column: nearest neighbours and their distance in Å.
Space group P2_1/m (No. 11)
One atom of each set of equivalent atoms:
Ce 0.0586 0.2500 0.1807 x2  3 Ru 2.80-3.06
Ce 0.3319 0.2500 0.8591 x2  2 Ru 2.69
Ce 0.4379 0.2500 0.3584 x2  3 Ce 3.04-3.14, 2 Ru 3.15, 1 Cd 3.25
Cd 0.1552 0.7500 0.5215 x2  2 Cd 3.08, 6 Ce 3.25-3.44
Ru 0.2698 0.7500 0.0698 x2  4 Ce 2.69-2.80

Values from the calculation:
Formation energy, eV/atom: -0.204
VASP energy, eV for the cell shown: -58.02
Magnetic moment, μB per formula unit: 1.381